Entry 1:
Material: RbNbSN2
Method: DFT, PBE-GGA
State: relaxed

abc: 4.221 4.221 5.715
angles: 90.00 90.00 90.00
Space group P4/mmm (No. 123)
Inequivalent atoms, fractional coordinates:
1 Rb 0.000 0.000 0.000 x1
2 Nb 0.500 0.500 0.500 x1
3 S 0.000 0.000 0.500 x1
4 N 0.000 0.500 0.000 x2

Results
- density of states at the Fermi level (states/eV/cell) = 4.652
- total magnetization (μB per atom) = 0.00
- total DFT energy (no corrections) (eV/atom) = -3.75
- ρ (g cm⁻³) = 3.89
- formation energy (no corrections) (eV/f.u.) = 13.05

Entry 2:
Material: RbNbS2N
Method: DFT, PBE-GGA
State: relaxed

abc: 5.016 5.016 4.122
angles: 90.00 90.00 90.00
Space group P4/mmm (No. 123)
Inequivalent atoms, fractional coordinates:
1 Rb 0.000 0.000 0.000 x1
2 Nb 0.500 0.500 0.500 x1
3 S 0.000 0.500 0.500 x2
4 N 0.500 0.500 0.000 x1

Results
- density of states at the Fermi level (states/eV/cell) = 2.313
- total magnetization (μB per atom) = 0.21
- total DFT energy (no corrections) (eV/atom) = -6.04
- ρ (g cm⁻³) = 4.11
- formation energy (no corrections) (eV/f.u.) = -2.57

Entry 3:
Material: RbNbSN2
Method: DFT, PBE-GGA
State: relaxed

abc: 4.258 4.258 4.990
angles: 90.00 90.00 90.00
Space group P4/mmm (No. 123)
Inequivalent atoms, fractional coordinates:
1 Rb 0.000 0.000 0.000 x1
2 Nb 0.500 0.500 0.500 x1
3 S 0.500 0.500 0.000 x1
4 N 0.000 0.500 0.500 x2

Results
- density of states at the Fermi level (states/eV/cell) = 2.458
- total magnetization (μB per atom) = 0.40
- total DFT energy (no corrections) (eV/atom) = -6.40
- ρ (g cm⁻³) = 4.38
- formation energy (no corrections) (eV/f.u.) = -0.18

Entry 4:
Material: RbNbS2N
Method: DFT, PBE-GGA
State: relaxed

abc: 5.207 5.207 4.048
angles: 90.00 90.00 90.00
Space group P4/mmm (No. 123)
Inequivalent atoms, fractional coordinates:
1 Rb 0.000 0.000 0.000 x1
2 Nb 0.500 0.500 0.500 x1
3 S 0.000 0.500 0.000 x2
4 N 0.000 0.000 0.500 x1

Results
- density of states at the Fermi level (states/eV/cell) = 4.836
- total magnetization (μB per atom) = 0.00
- total DFT energy (no corrections) (eV/atom) = -3.26
- ρ (g cm⁻³) = 3.88
- formation energy (no corrections) (eV/f.u.) = 11.33

Entry 5:
Material: Rb2NbSeN
Method: DFT, PBE-GGA
State: relaxed

abc: 6.545 6.545 3.845
angles: 90.00 90.00 90.00
Space group P4/mmm (No. 123)
Inequivalent atoms, fractional coordinates:
1 Rb 0.000 0.500 0.000 x2
2 Nb 0.000 0.000 0.500 x1
3 Se 0.500 0.500 0.500 x1
4 N 0.500 0.500 0.000 x1

Results
- density of states at the Fermi level (states/eV/cell) = 3.909
- total magnetization (μB per atom) = 0.97
- total DFT energy (no corrections) (eV/atom) = -3.64
- ρ (g cm⁻³) = 3.60
- formation energy (no corrections) (eV/f.u.) = 5.64

Entry 6:
Material: RbNbSeN2
Method: DFT, PBE-GGA
State: relaxed

abc: 4.092 4.092 5.769
angles: 90.00 90.00 90.00
Space group P4/mmm (No. 123)
Inequivalent atoms, fractional coordinates:
1 Rb 0.000 0.000 0.000 x1
2 Nb 0.500 0.500 0.500 x1
3 Se 0.000 0.000 0.500 x1
4 N 0.000 0.500 0.000 x2

Results
- density of states at the Fermi level (states/eV/cell) = 3.916
- total magnetization (μB per atom) = 0.00
- total DFT energy (no corrections) (eV/atom) = -3.58
- ρ (g cm⁻³) = 4.91
- formation energy (no corrections) (eV/f.u.) = 13.28

- Look up the density of states at the Fermi level of the second one.
  2.313 states/eV/cell